First-principles (PBE) data for a relaxed Hf3MgS6 crystal, as listed in Alexandria via LeMat-Bulk.

Calculated values
Size of the total moment   0.0 μB/f.u.
ρ   6.241 g cm⁻³
Calculated volume   400.2 Å³ per cell
Formation energy from raw total energies   -1.433 eV per atom

a = 10.769 Å, b = 3.575 Å, c = 11.563 Å
α = 90.00°, β = 115.97°, γ = 90.00°
Space group P2_1/m (No. 11)
Inequivalent atoms, fractional coordinates:
1 Hf 0.029 0.250 0.281 [2 per cell]
2 Hf 0.354 0.750 0.436 [2 per cell]
3 Hf 0.410 0.250 0.839 [2 per cell]
4 Mg 0.183 0.750 0.069 [2 per cell]
5 S 0.046 0.250 0.901 [2 per cell]
6 S 0.114 0.750 0.445 [2 per cell]
7 S 0.229 0.750 0.761 [2 per cell]
8 S 0.250 0.250 0.255 [2 per cell]
9 S 0.400 0.250 0.060 [2 per cell]
10 S 0.436 0.250 0.615 [2 per cell]